## KSrW2 (GGA-PBE)

Data for a relaxed structure of KSrW2.

Computed properties:
Energy above the most stable polymorph in this dataset ... 0.2364 eV/atom
Uncorrected energy ... -6.1055 eV/atom
ΔH_f (0 K) ... 1.07 eV/atom

Structure (extended XYZ):
```
4
Lattice="4.634 0.003 -0.001 3.540 2.990 -0.001 0.415 0.152 9.510" Properties=species:S:1:pos:R:3 pbc="T T T"
W 2.235 0.818 1.369
W 8.109 2.969 0.809
K 4.346 1.591 4.043
Sr 6.368 2.332 8.037
```